# 1
# KAg2PPd, optimized geometry, DFT GGA-PBE
data_KAg2PPd
_cell_length_a 4.905
_cell_length_b 4.905
_cell_length_c 4.709
_cell_angle_alpha 90.00
_cell_angle_beta 90.00
_cell_angle_gamma 90.00
_symmetry_space_group_name_H-M 'P 4/m m m'
_symmetry_Int_Tables_number 123
_symmetry_space_group_name_Hall '-P 4 2'
loop_
_atom_site_label
_atom_site_type_symbol
_atom_site_fract_x
_atom_site_fract_y
_atom_site_fract_z
K1 K 0.000 0.000 0.000
Ag1 Ag 0.000 0.500 0.500
P1 P 0.500 0.500 0.500
Pd1 Pd 0.500 0.500 0.000
# Crystal system: tetragonal
# N(E_F) (states/eV/cell): 0.3
# E_form (eV/atom): -0.148
# Spin magnetization (μB/atom): 0.0000

***

# 2
# In6Te7, optimized geometry, DFT GGA-PBE
data_In6Te7
_cell_length_a 6.0907
_cell_length_b 6.0907
_cell_length_c 43.5708
_cell_angle_alpha 90.00
_cell_angle_beta 90.00
_cell_angle_gamma 120.00
_symmetry_space_group_name_H-M 'R -3 m'
_symmetry_Int_Tables_number 166
_symmetry_space_group_name_Hall '-R 3 2"'
loop_
_atom_site_label
_atom_site_type_symbol
_atom_site_fract_x
_atom_site_fract_y
_atom_site_fract_z
In1 In 0.0000 0.0000 0.0359
In2 In 0.0000 0.0000 0.1804
In3 In 0.0000 0.0000 0.3212
Te1 Te 0.0000 0.0000 0.5000
Te2 Te 0.0010 0.5005 0.0787
# Crystal system: trigonal
# N(E_F) (states/eV/cell): 23.4
# Spin magnetization (μB/atom): 0.0000
# Formation energy (no corrections) (eV/atom): 0.076

***

# 3
# BiRhCl2, optimized geometry, DFT GGA-PBE
data_BiRhCl2
_cell_length_a 3.6790
_cell_length_b 3.6790
_cell_length_c 25.4242
_cell_angle_alpha 90.00
_cell_angle_beta 90.00
_cell_angle_gamma 120.00
_symmetry_space_group_name_H-M 'R -3 m'
_symmetry_Int_Tables_number 166
_symmetry_space_group_name_Hall '-R 3 2"'
loop_
_atom_site_label
_atom_site_type_symbol
_atom_site_fract_x
_atom_site_fract_y
_atom_site_fract_z
Bi1 Bi 0.0000 0.0000 0.0000
Rh1 Rh 0.0000 0.0000 0.5000
Cl1 Cl 0.0000 0.0000 0.1108
# Crystal system: trigonal
# E above lowest polymorph (meV/atom): 0
# N(E_F) (states/eV/cell): 3.9
# Spin magnetization (μB/atom): 0.4571
# Formation energy (no corrections) (eV/atom): -0.053

***

# 4
# KCdOs, optimized geometry, DFT GGA-PBE
data_KCdOs
_cell_length_a 7.328
_cell_length_b 7.328
_cell_length_c 7.328
_cell_angle_alpha 90.00
_cell_angle_beta 90.00
_cell_angle_gamma 90.00
_symmetry_space_group_name_H-M 'F -4 3 m'
_symmetry_Int_Tables_number 216
_symmetry_space_group_name_Hall 'F -4 2 3'
loop_
_atom_site_label
_atom_site_type_symbol
_atom_site_fract_x
_atom_site_fract_y
_atom_site_fract_z
K1 K 0.000 0.000 0.000
Cd1 Cd 0.250 0.250 0.250
Os1 Os 0.250 0.250 0.750
# Crystal system: cubic
# E above lowest polymorph (meV/atom): 1261
# N(E_F) (states/eV/cell): 10.0
# E_form (eV/atom): 2.123
# Spin magnetization (μB/atom): 0.9930

***

# 5
# La6Y8Th, optimized geometry, DFT GGA-PBE
data_La6Y8Th
_cell_length_a 9.1581
_cell_length_b 9.1581
_cell_length_c 21.3996
_cell_angle_alpha 90.00
_cell_angle_beta 90.00
_cell_angle_gamma 120.00
_symmetry_space_group_name_H-M 'R -3'
_symmetry_Int_Tables_number 148
_symmetry_space_group_name_Hall '-R 3'
loop_
_atom_site_label
_atom_site_type_symbol
_atom_site_fract_x
_atom_site_fract_y
_atom_site_fract_z
La1 La 0.0497 0.2484 0.2125
Y1 Y 0.0000 0.0000 0.0773
Y2 Y 0.0812 0.5787 0.3035
Th1 Th 0.0000 0.0000 0.5000
# Crystal system: trigonal
# E above lowest polymorph (meV/atom): 0
# N(E_F) (states/eV/cell): 75.2
# E_form (eV/atom): 0.109
# Spin magnetization (μB/atom): 0.0000

***

# 6
# BaIn2Co2, optimized geometry, DFT GGA-PBE
data_BaIn2Co2
_cell_length_a 4.612
_cell_length_b 4.612
_cell_length_c 10.932
_cell_angle_alpha 90.00
_cell_angle_beta 90.00
_cell_angle_gamma 90.00
_symmetry_space_group_name_H-M 'I 4/m m m'
_symmetry_Int_Tables_number 139
_symmetry_space_group_name_Hall '-I 4 2'
loop_
_atom_site_label
_atom_site_type_symbol
_atom_site_fract_x
_atom_site_fract_y
_atom_site_fract_z
Ba1 Ba 0.000 0.000 0.000
In1 In 0.000 0.000 0.353
Co1 Co 0.000 0.500 0.250
# Crystal system: tetragonal
# E above lowest polymorph (meV/atom): 21
# N(E_F) (states/eV/cell): 1.0
# E_form (eV/atom): 0.128
# Spin magnetization (μB/atom): 0.0000